The following is a DFT calculation (PBE-GGA) of an optimized crystal structure of Nb2BiO7.

Values from the calculation:
Its crystal system is orthorhombic. As for the final energy: -7.805 eV per atom. The space-group type is Cmmm, No. 65. The calculation puts the size of the total moment at 0.98 μB/f.u. For the uncorrected formation energy, the calculation gives -1.9319 eV per atom.

Unit cell a=6.0763 b=6.0763 c=3.8157 alpha=90.00 beta=90.00 gamma=116.69
Element x y z (fractional)
1 Nb 0.1956 0.8044 0.0000
2 Nb 0.8044 0.1956 0.0000
3 Bi 0.5000 0.5000 0.5000
4 O 0.0000 0.0000 0.0000
5 O 0.1762 0.4381 0.0000
6 O 0.2298 0.7702 0.5000
7 O 0.4381 0.1762 0.0000
8 O 0.5619 0.8238 0.0000
9 O 0.7702 0.2298 0.5000
10 O 0.8238 0.5619 0.0000